No. 1
Compound: BaLiGa
Source: Alexandria via LeMat-Bulk
Functional: PBE
Structure: relaxed

Cell: 5.181 8.073 8.280 Å, 90.00 90.00 90.00°
Positions (direct):
Ga: 0.500 0.163 0.146
Ga: 0.000 0.337 0.646
Ga: 0.500 0.837 0.146
Ga: 0.000 0.663 0.646
Li: 0.500 0.316 0.473
Li: 0.000 0.184 0.973
Li: 0.000 0.816 0.973
Li: 0.500 0.684 0.473
Ba: 0.500 0.000 0.754
Ba: 0.000 0.500 0.254
Ba: 0.500 0.500 0.877
Ba: 0.000 0.000 0.377

Values from the calculation:
For the energy above the most stable polymorph in this dataset, the calculation gives 36.5 meV per atom. The electronic total energy is -2.55 eV/atom. As for the space-group type: Imm2 (44). As for the formation energy: -0.79 eV per formula unit.

=====

No. 2
Compound: Ba3LiGa
Source: Alexandria via LeMat-Bulk
Functional: PBE
Structure: relaxed

Cell: 5.070 10.422 7.922 Å, 90.00 90.00 90.00°
Positions (direct):
Li: 0.250 0.250 0.670
Li: 0.750 0.750 0.330
Ba: 0.750 0.536 0.685
Ba: 0.250 0.750 0.978
Ba: 0.250 0.464 0.315
Ba: 0.750 0.250 0.022
Ba: 0.250 0.036 0.315
Ba: 0.750 0.964 0.685
Ga: 0.250 0.750 0.525
Ga: 0.750 0.250 0.475

Values from the calculation:
For the energy above the most stable polymorph in this dataset, the calculation gives 0.0 meV per atom. The electronic total energy is -2.25 eV/atom. As for the space-group type: Pmmn (59). As for the formation energy: -0.53 eV per formula unit.

=====

No. 3
Compound: Ba3Li2Ga4
Source: Alexandria via LeMat-Bulk
Functional: PBE
Structure: relaxed

Cell: 4.514 6.586 10.879 Å, 62.57 78.10 70.06°
Positions (direct):
Ga: 0.264 0.392 0.080
Ga: 0.736 0.608 0.920
Ga: 0.119 0.441 0.322
Ga: 0.881 0.559 0.678
Ba: 0.386 0.832 0.390
Ba: 0.000 0.000 0.000
Ba: 0.614 0.168 0.610
Li: 0.688 0.424 0.200
Li: 0.312 0.576 0.800

Values from the calculation:
The electronic total energy is -2.72 eV/atom. As for the space-group type: P-1 (2). As for the formation energy: -2.77 eV per formula unit.

=====

Number 1: total magnetic moment 0.0 μB/f.u., calculated volume 86.59 Å³/f.u.. Number 2: total magnetic moment 0.0 μB/f.u., calculated volume 209.31 Å³/f.u.. Number 3: total magnetic moment 0.0 μB/f.u., calculated volume 269.35 Å³/f.u..